Density functional theory data (GGA-PBEsol) for a relaxed HfSbPd crystal.

Unit cell a=4.3688 b=6.5489 c=7.8971 alpha=90.00 beta=90.00 gamma=90.00
With the nearest neighbours (Å) after each atom.
Fractional coordinates of all 12 atoms:
Sb 0.2500 0.2605 0.9008  4 Pd 2.62-2.71, 1 Hf 2.91
Sb 0.7500 0.7395 0.0992  4 Pd 2.62-2.71, 1 Hf 2.91
Sb 0.2500 0.7605 0.5992  4 Pd 2.62-2.71, 1 Hf 2.91
Sb 0.7500 0.2395 0.4008  4 Pd 2.62-2.71, 1 Hf 2.91
Hf 0.2500 0.5149 0.2924  5 Sb 2.91-3.04, 6 Pd 3.03-3.17
Hf 0.7500 0.4851 0.7076  5 Sb 2.91-3.04, 6 Pd 3.03-3.17
Hf 0.2500 0.0149 0.2076  5 Sb 2.91-3.04, 6 Pd 3.03-3.17
Hf 0.7500 0.9851 0.7924  5 Sb 2.91-3.04, 6 Pd 3.03-3.17
Pd 0.2500 0.6727 0.9241  4 Sb 2.62-2.71
Pd 0.7500 0.3273 0.0759  4 Sb 2.62-2.71
Pd 0.2500 0.1727 0.5759  4 Sb 2.62-2.71
Pd 0.7500 0.8273 0.4241  4 Sb 2.62-2.71

## Properties
Symmetry = Pnma
VASP energy = -22.95 eV per formula unit
ΔE_f (raw) = -645 meV per atom